## ScBe2Cl (GGA-PBE)

Data for a relaxed structure of ScBe2Cl.

Cell and atoms, written as POSCAR:
```
ScBe2Cl
1.0
-1.734 -2.508 2.522
-1.345 -1.437 -2.354
4.495 -3.547 -0.437
Be Sc Cl
2 1 1
Direct
0.000 0.249 0.033 Be
0.500 0.248 0.124 Be
0.500 0.751 0.785 Sc
0.000 0.251 0.559 Cl
```

Results
- energy above the most stable polymorph in this dataset (meV/atom) = 283
- space group = Pm, No. 6

## ScBeCl2 (GGA-PBE)

Data for a relaxed structure of ScBeCl2.

Cell and atoms, written as POSCAR:
```
ScBeCl2
1.0
-4.794 -0.925 -0.152
-0.424 -2.942 -3.875
3.019 -0.489 3.808
Cl Sc Be
2 1 1
Direct
0.000 0.000 0.000 Cl
0.500 0.500 0.000 Cl
0.250 0.750 0.500 Sc
0.750 0.250 0.500 Be
```

Results
- energy above the most stable polymorph in this dataset (meV/atom) = 594
- space group = I4/mmm, No. 139

## Sc4BeCl5 (GGA-PBE)

Data for a relaxed structure of Sc4BeCl5.

Cell and atoms, written as POSCAR:
```
Sc4BeCl5
1.0
-0.971 1.753 -2.909
-6.526 -3.924 -0.187
-3.785 5.860 6.941
Cl Be Sc
5 1 4
Direct
0.855 0.765 0.710 Cl
0.500 0.500 0.000 Cl
0.145 0.235 0.290 Cl
0.144 0.760 0.289 Cl
0.856 0.240 0.711 Cl
0.500 0.000 0.000 Be
0.622 0.998 0.244 Sc
0.378 0.002 0.756 Sc
0.000 0.770 0.000 Sc
0.000 0.230 0.000 Sc
```

Results
- space group = C2/m, No. 12

## ScBeCl2 (GGA-PBE)

Data for a relaxed structure of ScBeCl2.

Cell and atoms, written as POSCAR:
```
ScBeCl2
1.0
4.230 0.000 0.000
0.000 3.570 0.039
0.000 -0.219 5.270
Cl Sc Be
2 1 1
Direct
0.000 0.026 0.002 Cl
0.000 0.474 0.498 Cl
0.500 0.250 0.250 Sc
0.500 0.750 0.750 Be
```

Results
- energy above the most stable polymorph in this dataset (meV/atom) = 525
- space group = P2/m, No. 10

## Sc2BeCl (GGA-PBE)

Data for a relaxed structure of Sc2BeCl.

Cell and atoms, written as POSCAR:
```
Sc2BeCl
1.0
3.132 0.002 0.000
-0.002 3.132 0.000
0.000 0.000 7.400
Cl Be Sc
1 1 2
Direct
0.500 0.500 0.750 Cl
0.500 0.500 0.250 Be
0.000 0.000 0.462 Sc
0.000 0.000 0.038 Sc
```

Results
- energy above the most stable polymorph in this dataset (meV/atom) = 126
- space group = P4/mmm, No. 123

## ScBe2Cl (GGA-PBE)

Data for a relaxed structure of ScBe2Cl.

Cell and atoms, written as POSCAR:
```
ScBe2Cl
1.0
7.896 0.000 0.000
7.272 3.076 0.000
7.272 1.475 2.700
Be Sc Cl
2 1 1
Direct
0.991 0.991 0.991 Be
0.509 0.509 0.509 Be
0.750 0.750 0.750 Sc
0.250 0.250 0.250 Cl
```

Results
- energy above the most stable polymorph in this dataset (meV/atom) = 590
- space group = R-3m, No. 166

## ScBe3Cl (GGA-PBE)

Data for a relaxed structure of ScBe3Cl.

Cell and atoms, written as POSCAR:
```
ScBe3Cl
1.0
4.273 0.000 0.000
0.000 4.273 0.000
0.000 0.000 4.273
Be Cl Sc
3 1 1
Direct
0.500 0.000 0.000 Be
0.000 0.500 0.000 Be
0.000 0.000 0.500 Be
0.000 0.000 0.000 Cl
0.500 0.500 0.500 Sc
```

Results
- energy above the most stable polymorph in this dataset (meV/atom) = 0
- space group = Pm-3m, No. 221

## ScBeCl2 (GGA-PBE)

Data for a relaxed structure of ScBeCl2.

Cell and atoms, written as POSCAR:
```
ScBeCl2
1.0
4.675 0.020 0.000
-0.867 4.594 0.000
0.000 0.000 3.317
Sc Cl Be
1 2 1
Direct
0.500 0.000 0.500 Sc
0.500 0.500 0.000 Cl
0.000 0.000 0.000 Cl
0.000 0.500 0.500 Be
```

Results
- energy above the most stable polymorph in this dataset (meV/atom) = 685
- space group = Cmmm, No. 65

## ScBeCl3 (GGA-PBE)

Data for a relaxed structure of ScBeCl3.

Cell and atoms, written as POSCAR:
```
ScBeCl3
1.0
-2.133 -1.662 -3.645
3.996 -0.586 -2.071
0.288 -4.182 1.739
Sc Cl Be
1 3 1
Direct
0.500 0.500 0.500 Sc
0.000 0.500 0.000 Cl
0.500 0.000 0.000 Cl
0.000 0.000 0.500 Cl
0.000 0.000 0.000 Be
```

Results
- energy above the most stable polymorph in this dataset (meV/atom) = 205
- space group = Pm-3m, No. 221

## Sc2BeCl (GGA-PBE)

Data for a relaxed structure of Sc2BeCl.

Cell and atoms, written as POSCAR:
```
Sc2BeCl
1.0
-1.332 -0.355 4.762
4.020 -2.536 1.411
-0.883 4.514 -1.851
Sc Be Cl
2 1 1
Direct
0.010 0.010 0.000 Sc
0.490 0.490 0.000 Sc
0.750 0.250 0.500 Be
0.250 0.750 0.500 Cl
```

Results
- energy above the most stable polymorph in this dataset (meV/atom) = 357
- space group = Immm, No. 71

## ScBe2Cl (GGA-PBE)

Data for a relaxed structure of ScBe2Cl.

Cell and atoms, written as POSCAR:
```
ScBe2Cl
1.0
3.047 -0.004 0.000
-1.195 2.803 0.000
0.000 0.000 7.607
Be Cl Sc
2 1 1
Direct
0.000 0.000 0.018 Be
0.000 0.000 0.482 Be
0.500 0.500 0.250 Cl
0.500 0.500 0.750 Sc
```

Results
- energy above the most stable polymorph in this dataset (meV/atom) = 575
- space group = Cmmm, No. 65

## ScBeCl2 (GGA-PBE)

Data for a relaxed structure of ScBeCl2.

Cell and atoms, written as POSCAR:
```
ScBeCl2
1.0
-1.817 3.296 2.746
1.066 4.478 -0.717
-3.217 2.920 -1.681
Sc Cl Be
1 2 1
Direct
0.500 0.500 0.500 Sc
0.250 0.250 0.250 Cl
0.750 0.750 0.750 Cl
0.000 0.000 0.000 Be
```

Results
- energy above the most stable polymorph in this dataset (meV/atom) = 632
- space group = Fm-3m, No. 225

## ScBeCl2 (GGA-PBE)

Data for a relaxed structure of ScBeCl2.

Cell and atoms, written as POSCAR:
```
ScBeCl2
1.0
-0.787 3.671 0.944
0.845 -0.874 4.103
4.104 1.040 -0.623
Cl Be Sc
2 1 1
Direct
0.000 0.000 0.000 Cl
0.000 0.500 0.500 Cl
0.500 0.000 0.500 Be
0.500 0.500 0.000 Sc
```

Results
- energy above the most stable polymorph in this dataset (meV/atom) = 661
- space group = P4/mmm, No. 123

## Sc2BeCl (GGA-PBE)

Data for a relaxed structure of Sc2BeCl.

Cell and atoms, written as POSCAR:
```
Sc2BeCl
1.0
3.159 0.000 0.000
0.000 3.287 -0.020
0.000 0.043 7.395
Cl Sc Be
1 2 1
Direct
0.500 0.750 0.750 Cl
0.000 0.750 0.045 Sc
0.000 0.750 0.455 Sc
0.500 0.250 0.250 Be
```

Results
- energy above the most stable polymorph in this dataset (meV/atom) = 1
- space group = Pmmm, No. 47

## ScBeCl2 (GGA-PBE)

Data for a relaxed structure of ScBeCl2.

Cell and atoms, written as POSCAR:
```
ScBeCl2
1.0
7.087 0.105 -0.010
4.893 5.127 0.010
-5.611 -3.484 2.571
Be Cl Sc
1 2 1
Direct
0.344 0.844 0.500 Be
0.668 0.168 0.500 Cl
0.973 0.973 0.000 Cl
0.515 0.515 0.000 Sc
```

Results
- energy above the most stable polymorph in this dataset (meV/atom) = 354
- space group = Imm2, No. 44

## ScBeCl2 (GGA-PBE)

Data for a relaxed structure of ScBeCl2.

Cell and atoms, written as POSCAR:
```
ScBeCl2
1.0
3.137 0.000 0.000
0.000 3.137 0.000
0.000 0.000 9.636
Sc Be Cl
1 1 2
Direct
0.500 0.500 0.250 Sc
0.500 0.500 0.750 Be
0.000 0.000 0.091 Cl
0.000 0.000 0.409 Cl
```

Results
- energy above the most stable polymorph in this dataset (meV/atom) = 374
- space group = P4/mmm, No. 123

## ScBeCl3 (GGA-PBE)

Data for a relaxed structure of ScBeCl3.

Cell and atoms, written as POSCAR:
```
ScBeCl3
1.0
-1.252 2.577 4.138
-1.220 -4.302 2.310
4.720 -0.429 1.695
Cl Sc Be
3 1 1
Direct
0.000 0.500 0.000 Cl
0.000 0.000 0.500 Cl
0.500 0.000 0.000 Cl
0.000 0.000 0.000 Sc
0.500 0.500 0.500 Be
```

Results
- energy above the most stable polymorph in this dataset (meV/atom) = 0
- space group = Pm-3m, No. 221

## Sc2BeCl (GGA-PBE)

Data for a relaxed structure of Sc2BeCl.

Cell and atoms, written as POSCAR:
```
Sc2BeCl
1.0
3.229 -3.360 0.187
-0.289 -3.334 3.248
-1.100 -4.363 -1.228
Sc Be Cl
2 1 1
Direct
0.250 0.250 0.250 Sc
0.750 0.750 0.750 Sc
0.000 0.000 0.000 Be
0.500 0.500 0.500 Cl
```

Results
- energy above the most stable polymorph in this dataset (meV/atom) = 431
- space group = Fm-3m, No. 225

## ScBe2Cl (GGA-PBE)

Data for a relaxed structure of ScBe2Cl.

Cell and atoms, written as POSCAR:
```
ScBe2Cl
1.0
7.317 0.000 0.000
0.000 7.317 0.000
3.658 3.658 2.410
Be Sc Cl
4 2 2
Direct
0.875 0.850 0.750 Be
0.150 0.625 0.250 Be
0.600 0.125 0.250 Be
0.375 0.400 0.750 Be
0.000 0.000 0.000 Sc
0.750 0.250 0.500 Sc
0.500 0.500 0.000 Cl
0.250 0.750 0.500 Cl
```

Results
- energy above the most stable polymorph in this dataset (meV/atom) = 524
- space group = I-42d, No. 122

## ScBe2Cl (GGA-PBE)

Data for a relaxed structure of ScBe2Cl.

Cell and atoms, written as POSCAR:
```
ScBe2Cl
1.0
-3.659 -1.050 -4.109
4.973 -2.429 0.863
-0.524 -3.243 0.011
Be Cl Sc
2 1 1
Direct
0.000 0.000 0.000 Be
0.500 0.500 0.000 Be
0.500 0.000 0.500 Cl
0.000 0.500 0.500 Sc
```

Results
- energy above the most stable polymorph in this dataset (meV/atom) = 398
- space group = C2/m, No. 12

no.,D(E_F) (states/eV/cell),ΔE_f (raw) (eV per formula unit)
1,1.1,0.044
2,2.4,-1.281
3,4.2,-14.188
4,2.5,-1.557
5,3.1,-1.812
6,2.8,1.274
7,6.1,4.809
8,1.5,-0.915
9,4.4,-3.154
10,3.7,-0.886
11,2.4,1.213
12,2.8,-1.129
13,1.7,-1.010
14,3.1,-2.313
15,2.2,-2.241
16,1.8,-2.161
17,2.1,-4.178
18,4.0,-0.592
19,6.3,1.009
20,1.7,0.505